No. 1
Compound: PmDy2Hf
Source: Alexandria via LeMat-Bulk
Functional: PBE
Structure: optimized geometry

abc: 4.8618 4.8618 4.9019
angles: 90.00 90.00 90.00
Fractional positions:
Pm 0.0000 0.0000 0.0000
Dy 0.0000 0.5000 0.5000
Dy 0.5000 0.0000 0.5000
Hf 0.5000 0.5000 0.0000

Properties
ΔE_f = 0.16 eV per atom
Energy relative to the lowest polymorph listed for this composition = 0.16 eV per formula unit
Electronic total energy = -23.28 eV per cell

---

No. 2
Compound: PmDy2Hf
Source: Alexandria via LeMat-Bulk
Functional: PBE
Structure: optimized geometry

abc: 11.4803 11.4803 11.4803
angles: 17.29 17.29 17.29
Fractional positions:
Pm 0.0000 0.0000 0.0000
Dy 0.2435 0.2435 0.2435
Dy 0.4230 0.4230 0.4230
Hf 0.8335 0.8335 0.8335

Properties
ΔE_f = 0.12 eV per atom
Energy relative to the lowest polymorph listed for this composition = 0.00 eV per formula unit
Electronic total energy = -23.44 eV per cell

---

No. 3
Compound: PmDy2Hf
Source: Alexandria via LeMat-Bulk
Functional: PBE
Structure: optimized geometry

abc: 3.9900 3.9900 7.4351
angles: 90.00 90.00 90.00
Fractional positions:
Pm 0.0000 0.0000 0.0000
Dy 0.5000 0.5000 0.2830
Dy 0.5000 0.5000 0.7170
Hf 0.0000 0.0000 0.5000

Properties
ΔE_f = 0.23 eV per atom
Energy relative to the lowest polymorph listed for this composition = 0.44 eV per formula unit
Electronic total energy = -23.01 eV per cell

---

No. 4
Compound: PmDy2Hf
Source: Alexandria via LeMat-Bulk
Functional: PBE
Structure: optimized geometry

abc: 12.2227 12.2227 12.2227
angles: 15.78 15.78 15.78
Fractional positions:
Pm 0.0000 0.0000 0.0000
Dy 0.4146 0.4146 0.4146
Dy 0.5854 0.5854 0.5854
Hf 0.5000 0.5000 0.5000

Properties
ΔE_f = 0.38 eV per atom
Energy relative to the lowest polymorph listed for this composition = 1.05 eV per formula unit
Electronic total energy = -22.39 eV per cell

---

No. 5
Compound: PrDyHf
Source: Alexandria via LeMat-Bulk
Functional: PBE
Structure: optimized geometry

abc: 4.7033 4.7033 8.3710
angles: 90.00 90.00 90.00
Fractional positions:
Pr 0.2500 0.2500 0.2058
Pr 0.7500 0.7500 0.7942
Dy 0.2500 0.2500 0.7741
Dy 0.7500 0.7500 0.2259
Hf 0.2500 0.7500 0.5000
Hf 0.7500 0.2500 0.5000

Properties
ΔE_f = 0.25 eV per atom
Energy relative to the lowest polymorph listed for this composition = 0.31 eV per formula unit
Electronic total energy = -37.15 eV per cell

---

No. 6
Compound: PrDyHf
Source: Alexandria via LeMat-Bulk
Functional: PBE
Structure: optimized geometry

abc: 8.0575 8.0575 8.0575
angles: 155.81 155.81 34.48
Fractional positions:
Pr 0.0000 0.0000 0.0000
Dy 0.6921 0.6921 0.0000
Hf 0.3383 0.3383 0.0000

Properties
ΔE_f = 0.15 eV per atom
Energy relative to the lowest polymorph listed for this composition = 0.00 eV per formula unit
Electronic total energy = -18.88 eV per cell

---

No. 7
Compound: PrDyHf
Source: Alexandria via LeMat-Bulk
Functional: PBE
Structure: optimized geometry

abc: 3.4311 3.4311 8.5618
angles: 90.00 90.00 120.00
Fractional positions:
Pr 0.0000 0.0000 0.0000
Dy 0.3333 0.6667 0.6201
Hf 0.6667 0.3333 0.3166

Properties
ΔE_f = 0.17 eV per atom
Energy relative to the lowest polymorph listed for this composition = 0.06 eV per formula unit
Electronic total energy = -18.82 eV per cell

---

No. 8
Compound: PrDyHfTh
Source: Alexandria via LeMat-Bulk
Functional: PBE
Structure: optimized geometry

abc: 5.5125 5.5125 5.5125
angles: 60.00 60.00 60.00
Fractional positions:
Pr 0.0000 0.0000 0.0000
Dy 0.7500 0.7500 0.7500
Hf 0.2500 0.2500 0.2500
Th 0.5000 0.5000 0.5000

Properties
ΔE_f = 0.22 eV per atom
Electronic total energy = -25.88 eV per cell

---

No. 9
Compound: Dy3HfPt12
Source: Alexandria via LeMat-Bulk
Functional: PBE
Structure: optimized geometry

abc: 4.0961 4.0961 16.3991
angles: 90.00 90.00 90.00
Fractional positions:
Dy 0.0000 0.0000 0.0000
Dy 0.0000 0.0000 0.2511
Dy 0.0000 0.0000 0.7489
Hf 0.0000 0.0000 0.5000
Pt 0.0000 0.5000 0.1264
Pt 0.0000 0.5000 0.3813
Pt 0.0000 0.5000 0.6187
Pt 0.0000 0.5000 0.8736
Pt 0.5000 0.0000 0.1264
Pt 0.5000 0.0000 0.3813
Pt 0.5000 0.0000 0.6187
Pt 0.5000 0.0000 0.8736
Pt 0.5000 0.5000 0.0000
Pt 0.5000 0.5000 0.2539
Pt 0.5000 0.5000 0.5000
Pt 0.5000 0.5000 0.7461

Properties
ΔE_f = -1.06 eV per atom
Electronic total energy = -113.25 eV per cell

---

No. 10
Compound: DyHfPt6
Source: Alexandria via LeMat-Bulk
Functional: PBE
Structure: optimized geometry

abc: 4.0752 4.0752 8.1504
angles: 90.00 90.00 90.00
Fractional positions:
Dy 0.0000 0.0000 0.0000
Hf 0.0000 0.0000 0.5000
Pt 0.0000 0.5000 0.2594
Pt 0.0000 0.5000 0.7406
Pt 0.5000 0.0000 0.2594
Pt 0.5000 0.0000 0.7406
Pt 0.5000 0.5000 0.0000
Pt 0.5000 0.5000 0.5000

Properties
ΔE_f = -1.10 eV per atom
Electronic total energy = -59.59 eV per cell

---

No. 11
Compound: DyHfZnPt
Source: Alexandria via LeMat-Bulk
Functional: PBE
Structure: optimized geometry

abc: 4.8373 4.8373 4.8373
angles: 60.00 60.00 60.00
Fractional positions:
Dy 0.0000 0.0000 0.0000
Hf 0.5000 0.5000 0.5000
Zn 0.7500 0.7500 0.7500
Pt 0.2500 0.2500 0.2500

Properties
ΔE_f = -0.60 eV per atom
Electronic total energy = -24.28 eV per cell

---

No. 12
Compound: Dy2PuHf
Source: Alexandria via LeMat-Bulk
Functional: PBE
Structure: optimized geometry

abc: 4.7537 4.7537 4.8198
angles: 90.00 90.00 90.00
Fractional positions:
Dy 0.0000 0.5000 0.0000
Dy 0.5000 0.0000 0.0000
Pu 0.0000 0.0000 0.5000
Hf 0.5000 0.5000 0.5000

Properties
ΔE_f = 0.21 eV per atom
Energy relative to the lowest polymorph listed for this composition = 0.00 eV per formula unit
Electronic total energy = -32.66 eV per cell

---

No. 13
Compound: DyPu2Hf
Source: Alexandria via LeMat-Bulk
Functional: PBE
Structure: optimized geometry

abc: 11.0823 11.0823 11.0823
angles: 17.24 17.24 17.24
Fractional positions:
Dy 0.0000 0.0000 0.0000
Pu 0.2454 0.2454 0.2454
Pu 0.7546 0.7546 0.7546
Hf 0.5000 0.5000 0.5000

Properties
ΔE_f = 0.19 eV per atom
Energy relative to the lowest polymorph listed for this composition = 0.09 eV per formula unit
Electronic total energy = -42.45 eV per cell

---

No. 14
Compound: DyPu2Hf
Source: Alexandria via LeMat-Bulk
Functional: PBE
Structure: optimized geometry

abc: 3.2806 3.2806 9.6710
angles: 90.00 90.00 90.00
Fractional positions:
Dy 0.0000 0.0000 0.0000
Pu 0.5000 0.5000 0.2685
Pu 0.5000 0.5000 0.7315
Hf 0.0000 0.0000 0.5000

Properties
ΔE_f = 0.17 eV per atom
Energy relative to the lowest polymorph listed for this composition = 0.00 eV per formula unit
Electronic total energy = -42.54 eV per cell

---

No. 15
Compound: DyPu2Hf
Source: Alexandria via LeMat-Bulk
Functional: PBE
Structure: optimized geometry

abc: 4.6577 4.6577 4.7483
angles: 90.00 90.00 90.00
Fractional positions:
Dy 0.0000 0.0000 0.0000
Pu 0.0000 0.5000 0.5000
Pu 0.5000 0.0000 0.5000
Hf 0.5000 0.5000 0.0000

Properties
ΔE_f = 0.22 eV per atom
Energy relative to the lowest polymorph listed for this composition = 0.19 eV per formula unit
Electronic total energy = -42.34 eV per cell

---

No. 16
Compound: Dy2PuHf
Source: Alexandria via LeMat-Bulk
Functional: PBE
Structure: optimized geometry

abc: 12.0086 12.0086 12.0086
angles: 15.71 15.71 15.71
Fractional positions:
Dy 0.0877 0.0877 0.0877
Dy 0.9123 0.9123 0.9123
Pu 0.5000 0.5000 0.5000
Hf 0.0000 0.0000 0.0000

Properties
ΔE_f = 0.40 eV per atom
Energy relative to the lowest polymorph listed for this composition = 0.79 eV per formula unit
Electronic total energy = -31.88 eV per cell

---

No. 17
Compound: DyPu2HfSb4
Source: Alexandria via LeMat-Bulk
Functional: PBE
Structure: optimized geometry

abc: 7.5035 4.3236 7.5156
angles: 90.00 109.28 90.00
Fractional positions:
Dy 0.0000 0.0000 0.0000
Pu 0.5000 0.0000 0.5000
Pu 0.5000 0.5000 0.0000
Hf 0.0000 0.5000 0.5000
Sb 0.2346 0.0000 0.7356
Sb 0.2409 0.5000 0.2568
Sb 0.7591 0.5000 0.7432
Sb 0.7654 0.0000 0.2644

Properties
Uncorrected formation energy = -708 meV/atom
Electronic total energy = -65.37 eV per cell

---

No. 18
Compound: Rb4Dy3HfS8
Source: Alexandria via LeMat-Bulk
Functional: PBE
Structure: optimized geometry

abc: 8.9671 8.9671 8.9671
angles: 52.90 52.90 52.90
Fractional positions:
Rb 0.0000 0.0000 0.0000
Rb 0.0000 0.5000 0.5000
Rb 0.5000 0.0000 0.5000
Rb 0.5000 0.5000 0.0000
Dy 0.0000 0.0000 0.5000
Dy 0.0000 0.5000 0.0000
Dy 0.5000 0.0000 0.0000
Hf 0.5000 0.5000 0.5000
S 0.2317 0.2317 0.2317
S 0.2464 0.7215 0.7215
S 0.2785 0.2785 0.7536
S 0.2785 0.7536 0.2785
S 0.7215 0.2464 0.7215
S 0.7215 0.7215 0.2464
S 0.7536 0.2785 0.2785
S 0.7683 0.7683 0.7683

Properties
Uncorrected formation energy = -1728 meV/atom
Electronic total energy = -88.29 eV per cell

---

No. 19
Compound: Rb3Dy3HfSe8
Source: Alexandria via LeMat-Bulk
Functional: PBE
Structure: optimized geometry

abc: 9.4552 9.4552 9.4552
angles: 51.77 51.77 51.77
Fractional positions:
Rb 0.0000 0.5000 0.5000
Rb 0.5000 0.0000 0.5000
Rb 0.5000 0.5000 0.0000
Dy 0.0000 0.0000 0.5000
Dy 0.0000 0.5000 0.0000
Dy 0.5000 0.0000 0.0000
Hf 0.5000 0.5000 0.5000
Se 0.2318 0.2318 0.2318
Se 0.2465 0.7206 0.7206
Se 0.2794 0.2794 0.7535
Se 0.2794 0.7535 0.2794
Se 0.7206 0.2465 0.7206
Se 0.7206 0.7206 0.2465
Se 0.7535 0.2794 0.2794
Se 0.7682 0.7682 0.7682

Properties
Uncorrected formation energy = -1668 meV/atom
Electronic total energy = -79.57 eV per cell

---

No. 20
Compound: Rb4Dy3HfSe8
Source: Alexandria via LeMat-Bulk
Functional: PBE
Structure: optimized geometry

abc: 9.3335 9.3335 9.3335
angles: 52.88 52.88 52.88
Fractional positions:
Rb 0.0000 0.0000 0.0000
Rb 0.0000 0.5000 0.5000
Rb 0.5000 0.0000 0.5000
Rb 0.5000 0.5000 0.0000
Dy 0.0000 0.0000 0.5000
Dy 0.0000 0.5000 0.0000
Dy 0.5000 0.0000 0.0000
Hf 0.5000 0.5000 0.5000
Se 0.2329 0.2329 0.2329
Se 0.2462 0.7234 0.7234
Se 0.2766 0.2766 0.7538
Se 0.2766 0.7538 0.2766
Se 0.7234 0.2462 0.7234
Se 0.7234 0.7234 0.2462
Se 0.7538 0.2766 0.2766
Se 0.7671 0.7671 0.7671

Properties
Uncorrected formation energy = -1597 meV/atom
Electronic total energy = -81.06 eV per cell

---

No. 21
Compound: Rb3Dy2HfSe6
Source: Alexandria via LeMat-Bulk
Functional: PBE
Structure: optimized geometry

abc: 7.1444 7.1444 8.3620
angles: 98.20 98.20 120.00
Fractional positions:
Rb 0.0000 0.0000 0.0000
Rb 0.3292 0.6708 0.0000
Rb 0.6708 0.3292 0.0000
Dy 0.1662 0.8338 0.5000
Dy 0.8338 0.1662 0.5000
Hf 0.5000 0.5000 0.5000
Se 0.1178 0.4354 0.3060
Se 0.2481 0.2481 0.6955
Se 0.4354 0.1178 0.3060
Se 0.5646 0.8822 0.6940
Se 0.7519 0.7519 0.3045
Se 0.8822 0.5646 0.6940

Properties
Uncorrected formation energy = -1553 meV/atom
Electronic total energy = -61.60 eV per cell

---

No. 22
Compound: Rb4Dy3HfTe8
Source: Alexandria via LeMat-Bulk
Functional: PBE
Structure: optimized geometry

abc: 9.9903 9.9903 9.9903
angles: 52.74 52.74 52.74
Fractional positions:
Rb 0.0000 0.0000 0.0000
Rb 0.0000 0.5000 0.5000
Rb 0.5000 0.0000 0.5000
Rb 0.5000 0.5000 0.0000
Dy 0.0000 0.0000 0.5000
Dy 0.0000 0.5000 0.0000
Dy 0.5000 0.0000 0.0000
Hf 0.5000 0.5000 0.5000
Te 0.2341 0.2341 0.2341
Te 0.2463 0.7249 0.7249
Te 0.2751 0.2751 0.7537
Te 0.2751 0.7537 0.2751
Te 0.7249 0.2463 0.7249
Te 0.7249 0.7249 0.2463
Te 0.7537 0.2751 0.2751
Te 0.7659 0.7659 0.7659

Properties
Uncorrected formation energy = -1237 meV/atom
Electronic total energy = -72.55 eV per cell

---

No. 23
Compound: Rb2Dy2HfTe6
Source: Alexandria via LeMat-Bulk
Functional: PBE
Structure: optimized geometry

abc: 7.5170 7.5170 9.1695
angles: 98.27 98.27 119.74
Fractional positions:
Rb 0.1711 0.8289 0.0000
Rb 0.8289 0.1711 0.0000
Dy 0.3320 0.6680 0.5000
Dy 0.6680 0.3320 0.5000
Hf 0.0000 0.0000 0.5000
Te 0.0709 0.3852 0.6954
Te 0.2504 0.2504 0.3069
Te 0.3852 0.0709 0.6954
Te 0.6148 0.9291 0.3046
Te 0.7496 0.7496 0.6931
Te 0.9291 0.6148 0.3046

Properties
Uncorrected formation energy = -1225 meV/atom
Electronic total energy = -53.42 eV per cell

---

No. 24
Compound: DyHf2Re9
Source: Alexandria via LeMat-Bulk
Functional: PBE
Structure: optimized geometry

abc: 9.2649 9.2649 9.2649
angles: 33.08 33.08 33.08
Fractional positions:
Dy 0.0000 0.0000 0.0000
Hf 0.1432 0.1432 0.1432
Hf 0.8568 0.8568 0.8568
Re 0.0772 0.5902 0.5902
Re 0.3358 0.3358 0.3358
Re 0.4098 0.4098 0.9228
Re 0.4098 0.9228 0.4098
Re 0.5000 0.5000 0.5000
Re 0.5902 0.0772 0.5902
Re 0.5902 0.5902 0.0772
Re 0.6642 0.6642 0.6642
Re 0.9228 0.4098 0.4098

Properties
ΔE_f = -0.17 eV per atom
Electronic total energy = -138.58 eV per cell

---

No. 25
Compound: DyHfRe4
Source: Alexandria via LeMat-Bulk
Functional: PBE
Structure: optimized geometry

abc: 5.3496 5.3496 5.3496
angles: 60.00 60.00 60.00
Fractional positions:
Dy 0.0000 0.0000 0.0000
Hf 0.7500 0.7500 0.7500
Re 0.3753 0.3753 0.3753
Re 0.3753 0.3753 0.8742
Re 0.3753 0.8742 0.3753
Re 0.8742 0.3753 0.3753

Properties
ΔE_f = -0.23 eV per atom
Electronic total energy = -65.74 eV per cell

---

Number 1: calculated density 9.29 g cm⁻³. Number 2: calculated density 9.23 g cm⁻³. Number 3: calculated density 9.10 g cm⁻³. Number 4: calculated density 9.15 g cm⁻³. Number 5: calculated density 8.64 g cm⁻³. Number 6: calculated density 9.12 g cm⁻³. Number 7: calculated density 9.17 g cm⁻³. Number 8: calculated density 10.01 g cm⁻³. Number 9: calculated density 18.15 g cm⁻³. Number 10: calculated density 18.54 g cm⁻³. Number 11: calculated density 12.48 g cm⁻³. Number 12: calculated density 11.40 g cm⁻³. Number 13: calculated density 13.19 g cm⁻³. Number 14: calculated density 13.23 g cm⁻³. Number 15: calculated density 13.36 g cm⁻³. Number 16: calculated density 11.21 g cm⁻³. Number 17: calculated density 9.50 g cm⁻³. Number 18: calculated density 4.94 g cm⁻³. Number 19: calculated density 5.35 g cm⁻³. Number 20: calculated density 5.68 g cm⁻³. Number 21: calculated density 5.78 g cm⁻³. Number 22: calculated density 5.76 g cm⁻³. Number 23: calculated density 5.55 g cm⁻³. Number 24: calculated density 17.29 g cm⁻³. Number 25: calculated density 16.66 g cm⁻³.